(1)
VASP calculation (GGA-PBE) on a relaxed structure of ZnSi2.

It has space group Pnma (No. 62), with a = 5.1343 Å, b = 4.6595 Å, c = 7.8845 Å, α = 90.00°, β = 90.00° and γ = 90.00°. The asymmetric unit holds Zn at (0.2437, 0.2500, 0.0843), Si at (0.2430, 0.2500, 0.4175) and Si at (0.2476, 0.7500, 0.2495).

***

(2)
VASP calculation (GGA-PBE) on a relaxed structure of Zn2Si.

It has space group I4/mmm (No. 139), with a = 3.6434 Å, b = 3.6434 Å, c = 7.2641 Å, α = 90.00°, β = 90.00° and γ = 90.00°. The asymmetric unit holds Zn at (0.0000, 0.0000, 0.1653) and Si at (0.0000, 0.0000, 0.5000).

***

(3)
VASP calculation (GGA-PBE) on a relaxed structure of ZnSi3.

It has space group Cmmm (No. 65), with a = 3.6158 Å, b = 3.7617 Å, c = 8.8413 Å, α = 90.00°, β = 90.00° and γ = 90.00°. The asymmetric unit holds Zn at (0.0000, 0.0000, 0.0000), Si at (0.0000, 0.0000, 0.5000) and Si at (0.0000, 0.5000, 0.2518).

***

Number 1: N(E_F) 0.4752 states/eV per atom, raw formation energy 354 meV per atom. Number 2: N(E_F) 0.2699 states/eV per atom, raw formation energy 272 meV per atom. Number 3: N(E_F) 0.2170 states/eV per atom, raw formation energy 434 meV per atom.